A geometry-optimized Na2Ac2TlO6 structure, computed with PBE.

Summary:
calculated volume	201	Å³/cell
space-group type	No. 166
total energy	-5.5847	eV/atom

The structure in extended XYZ format:
```
11
Lattice="3.223 1.861 5.574 -3.223 1.861 5.574 0.000 -3.722 5.574" Properties=species:S:1:pos:R:3 pbc="T T T"
Na 0.000 0.000 1.399
Na 0.000 0.000 15.321
Ac 0.000 0.000 5.024
Ac 0.000 0.000 11.697
Tl 0.000 0.000 8.360
O 0.000 -1.611 6.752
O -1.395 0.806 6.752
O -1.395 -0.806 9.969
O 1.395 0.806 6.752
O 1.395 -0.806 9.969
O 0.000 1.611 9.969
```